Record 1
TcAgBr2: optimized geometry, GGA-PBEsol.

Values from the calculation:
The value obtained for the uncorrected formation energy is 478 meV per atom. As for the space-group type: No. 44. The electronic total energy comes out at -0.3014 Ry per atom. The calculation puts the energy above the most stable polymorph in this dataset at 0 meV/atom. Its density of states at the Fermi level is 3.616 states/eV/cell.

abc: 3.027 4.410 6.615
angles: 109.47 103.22 90.00
Last column: magnetic moment on the atom in μB.
Atoms (fractional coordinates):
Br 0.017 0.017 0.034  0.02
Br 0.815 0.315 0.629  0.01
Tc 0.484 0.484 0.969  0.59
Ag 0.184 0.684 0.368  0.02


Record 2
NaLiGe2: optimized geometry, GGA-PBEsol.

Values from the calculation:
As for the space-group type: No. 225. The electronic total energy comes out at -0.2435 Ry per atom. Its density of states at the Fermi level is 0.995 states/eV/cell. The value obtained for the formation energy is -0.2 kJ per mole of atoms.

abc: 4.670 4.670 4.670
angles: 60.00 60.00 60.00
Atoms (fractional coordinates):
Ge 0.750 0.750 0.750
Ge 0.250 0.250 0.250
Li 0.000 0.000 0.000
Na 0.500 0.500 0.500